[1]
## Tl3IrC (PBE-GGA)

Data for crystalline Tl3IrC at its relaxed geometry.

a = 5.3026 Å, b = 5.3026 Å, c = 5.3026 Å
α = 90.00°, β = 90.00°, γ = 90.00°
Closest atoms and distances in Å follow each position.
Sites, in units of the cell vectors:
Tl 0.5000 0.0000 0.0000  2 Ir 2.65
C 0.5000 0.5000 0.5000  12 Tl 3.75
Tl 0.0000 0.5000 0.0000  2 Ir 2.65
Ir 0.0000 0.0000 0.0000  6 Tl 2.65
Tl 0.0000 0.0000 0.5000  2 Ir 2.65

Output
The offset from the most stable computed form is 0.000 eV/atom. Its density is 9.1 g cm⁻³. The calculation puts the uncorrected energy at -18.59 eV per cell. As for the volume: 29.8 Å³ per atom. The formation energy comes out at 1.3185 eV per atom.

***

[2]
## PBr3O (PBE-GGA)

Data for crystalline PBr3O at its relaxed geometry.

a = 6.5536 Å, b = 10.5747 Å, c = 10.4323 Å
α = 90.00°, β = 90.00°, γ = 90.00°
Closest atoms and distances in Å follow each position.
Sites, in units of the cell vectors:
P 0.5687 0.6836 0.2549  1 O 1.48
Br 0.2325 0.3422 0.5867  1 P 2.20
Br 0.2291 0.3456 0.9209  1 P 2.20
P 0.0687 0.8164 0.7549  1 O 1.48
Br 0.2709 0.8456 0.9209  1 P 2.20
P 0.9313 0.1836 0.2549  1 O 1.48
Br 0.7325 0.1578 0.0867  1 P 2.20
O 0.9608 0.6939 0.7566  1 P 1.48
Br 0.3662 0.5181 0.2543  1 P 2.20
Br 0.1338 0.0181 0.2543  1 P 2.20
Br 0.7675 0.6578 0.0867  1 P 2.20
O 0.0392 0.3061 0.2566  1 P 1.48
Br 0.7709 0.6544 0.4209  1 P 2.20
O 0.5392 0.1939 0.7566  1 P 1.48
Br 0.6338 0.4819 0.7543  1 P 2.20
P 0.4313 0.3164 0.7549  1 O 1.48
Br 0.8662 0.9819 0.7543  1 P 2.20
Br 0.2675 0.8422 0.5867  1 P 2.20
O 0.4608 0.8061 0.2566  1 P 1.48
Br 0.7291 0.1544 0.4209  1 P 2.20

Output
The offset from the most stable computed form is 0.000 eV/atom. Its density is 2.6 g cm⁻³. The calculation puts the uncorrected energy at -77.01 eV per cell. As for the volume: 36.1 Å³ per atom.

***

[3]
## GdDy2In (PBE-GGA)

Data for crystalline GdDy2In at its relaxed geometry.

a = 5.4460 Å, b = 5.4460 Å, c = 5.4460 Å
α = 60.00°, β = 60.00°, γ = 60.00°
Closest atoms and distances in Å follow each position.
Sites, in units of the cell vectors:
Dy 0.7500 0.7500 0.7500  4 Gd 3.33, 4 In 3.33
Gd 0.0000 0.0000 0.0000  8 Dy 3.33
In 0.5000 0.5000 0.5000  8 Dy 3.33
Dy 0.2500 0.2500 0.2500  4 Gd 3.33, 4 In 3.33

Output
The offset from the most stable computed form is 0.138 eV/atom. Its density is 8.7 g cm⁻³. The calculation puts the uncorrected energy at -26.59 eV per cell. As for the volume: 28.6 Å³ per atom. The formation energy comes out at -0.1421 eV per atom.

***

[4]
## ScVBr3 (PBE-GGA)

Data for crystalline ScVBr3 at its relaxed geometry.

a = 5.3105 Å, b = 5.3105 Å, c = 5.3105 Å
α = 90.00°, β = 90.00°, γ = 90.00°
Closest atoms and distances in Å follow each position.
Sites, in units of the cell vectors:
Sc 0.0000 0.0000 0.0000  6 Br 2.66
Br 0.0000 0.5000 0.0000  2 Sc 2.66
V 0.5000 0.5000 0.5000  12 Br 3.76
Br 0.0000 0.0000 0.5000  2 Sc 2.66
Br 0.5000 0.0000 0.0000  2 Sc 2.66

Output
The offset from the most stable computed form is 0.000 eV/atom. Its density is 3.7 g cm⁻³. The calculation puts the uncorrected energy at -22.24 eV per cell. As for the volume: 30.0 Å³ per atom.

***

[5]
## VZn3Sb (PBE-GGA)

Data for crystalline VZn3Sb at its relaxed geometry.

a = 4.8868 Å, b = 4.8868 Å, c = 4.8868 Å
α = 90.00°, β = 90.00°, γ = 90.00°
Closest atoms and distances in Å follow each position.
Sites, in units of the cell vectors:
V 0.0000 0.0000 0.0000  6 Zn 2.44
Sb 0.5000 0.5000 0.5000  12 Zn 3.46
Zn 0.0000 0.5000 0.0000  2 V 2.44
Zn 0.5000 0.0000 0.0000  2 V 2.44
Zn 0.0000 0.0000 0.5000  2 V 2.44

Output
The offset from the most stable computed form is 0.000 eV/atom. Its density is 5.2 g cm⁻³. The calculation puts the uncorrected energy at -12.94 eV per cell. As for the volume: 23.3 Å³ per atom.

***

[6]
## ThSI3 (PBE-GGA)

Data for crystalline ThSI3 at its relaxed geometry.

a = 8.3604 Å, b = 8.9980 Å, c = 15.4622 Å
α = 85.71°, β = 80.73°, γ = 62.32°
Closest atoms and distances in Å follow each position.
Sites, in units of the cell vectors:
S 0.9442 0.3416 0.7120  1 S 2.09
I 0.7486 0.2112 0.0332  2 Th 3.18-3.19
Th 0.0308 0.1171 0.8572  2 S 2.80-2.85, 2 I 2.96-3.14
I 0.4835 0.2894 0.5902  1 Th 2.96
I 0.9598 0.7888 0.5332  2 Th 3.18-3.19
I 0.2788 0.9013 0.6928  2 Th 3.14-3.36
I 0.8199 0.9013 0.8072  2 Th 3.14-3.36
I 0.0402 0.2112 0.4668  2 Th 3.18-3.19
Th 0.1479 0.8829 0.3572  2 S 2.80-2.85, 2 I 2.96-3.14
S 0.2857 0.6584 0.2120  1 S 2.09
S 0.7143 0.3416 0.7880  1 S 2.09
I 0.7212 0.0987 0.3072  2 Th 3.14-3.36
I 0.7729 0.7106 0.0902  1 Th 2.96
I 0.1801 0.0987 0.1928  2 Th 3.14-3.36
S 0.0558 0.6584 0.2880  1 S 2.09
I 0.2271 0.2894 0.9098  1 Th 2.96
I 0.2514 0.7888 0.9668  2 Th 3.18-3.19
Th 0.8521 0.1171 0.6428  2 S 2.80-2.85, 2 I 2.96-3.14
Th 0.9692 0.8829 0.1428  2 S 2.80-2.85, 2 I 2.96-3.14
I 0.5165 0.7106 0.4098  1 Th 2.96

Output
The offset from the most stable computed form is 0.000 eV/atom. Its density is 4.2 g cm⁻³. The calculation puts the uncorrected energy at -88.33 eV per cell. As for the volume: 50.8 Å³ per atom.

***

[7]
## Rb2BeGa (PBE-GGA)

Data for crystalline Rb2BeGa at its relaxed geometry.

a = 6.0080 Å, b = 6.0080 Å, c = 6.0080 Å
α = 60.00°, β = 60.00°, γ = 60.00°
Closest atoms and distances in Å follow each position.
Sites, in units of the cell vectors:
Be 0.0000 0.0000 0.0000  8 Rb 3.68
Rb 0.7500 0.7500 0.7500  4 Ga 3.68, 4 Be 3.68
Rb 0.2500 0.2500 0.2500  4 Ga 3.68, 4 Be 3.68
Ga 0.5000 0.5000 0.5000  8 Rb 3.68

Output
The offset from the most stable computed form is 0.513 eV/atom. Its density is 2.7 g cm⁻³. The calculation puts the uncorrected energy at -5.44 eV per cell. As for the volume: 38.3 Å³ per atom. The formation energy comes out at 0.8124 eV per atom.

***

[8]
## RbLiOs3 (PBE-GGA)

Data for crystalline RbLiOs3 at its relaxed geometry.

a = 4.4532 Å, b = 4.4532 Å, c = 4.4532 Å
α = 90.00°, β = 90.00°, γ = 90.00°
Closest atoms and distances in Å follow each position.
Sites, in units of the cell vectors:
Os 0.5000 0.0000 0.0000  2 Li 2.23
Li 0.0000 0.0000 0.0000  6 Os 2.23
Rb 0.5000 0.5000 0.5000  12 Os 3.15
Os 0.0000 0.5000 0.0000  2 Li 2.23
Os 0.0000 0.0000 0.5000  2 Li 2.23

Output
The offset from the most stable computed form is 0.000 eV/atom. Its density is 12.5 g cm⁻³. The calculation puts the uncorrected energy at -24.88 eV per cell. As for the volume: 17.7 Å³ per atom. The formation energy comes out at 2.3391 eV per atom.

***

[9]
## MnW (PBE-GGA)

Data for crystalline MnW at its relaxed geometry.

a = 2.6847 Å, b = 2.6847 Å, c = 7.6413 Å
α = 90.00°, β = 90.00°, γ = 98.28°
Closest atoms and distances in Å follow each position.
Sites, in units of the cell vectors:
Mn 0.0000 0.0000 0.9658  4 Mn 2.24-2.46
W 0.0000 0.0000 0.5245  4 Mn 2.65-2.84, 6 W 2.68-2.88
Mn 0.5000 0.5000 0.7842  4 Mn 2.24-2.46
W 0.5000 0.5000 0.2255  4 Mn 2.65-2.84, 6 W 2.68-2.88

Output
Its density is 14.6 g cm⁻³. The calculation puts the uncorrected energy at -43.59 eV per cell. As for the volume: 13.6 Å³ per atom. The formation energy comes out at 0.1643 eV per atom.

***

[10]
## MgBCl (PBE-GGA)

Data for crystalline MgBCl at its relaxed geometry.

a = 6.3966 Å, b = 3.2048 Å, c = 7.1659 Å
α = 90.00°, β = 110.31°, γ = 90.00°
Closest atoms and distances in Å follow each position.
Sites, in units of the cell vectors:
Mg 0.8698 0.5000 0.9031  3 B 2.24-2.50, 3 Cl 2.47-2.50
B 0.8099 0.5000 0.1927  2 B 1.63
B 0.8159 0.0000 0.1511  2 B 1.63
Cl 0.5532 0.5000 0.5775  3 Mg 2.47-2.50
Mg 0.7570 0.0000 0.4410  3 B 2.24-2.50, 3 Cl 2.47-2.50
Cl 0.0736 0.0000 0.7668  3 Mg 2.47-2.50

Output
The offset from the most stable computed form is 0.149 eV/atom. Its density is 1.7 g cm⁻³. The calculation puts the uncorrected energy at -24.22 eV per cell. As for the volume: 23.0 Å³ per atom.

***

[11]
## ZrFeBr2 (PBE-GGA)

Data for crystalline ZrFeBr2 at its relaxed geometry.

a = 4.9316 Å, b = 4.9316 Å, c = 4.9316 Å
α = 60.00°, β = 60.00°, γ = 60.00°
Closest atoms and distances in Å follow each position.
Sites, in units of the cell vectors:
Zr 0.2500 0.2500 0.2500  4 Fe 3.02, 4 Br 3.02
Br 0.7500 0.7500 0.7500  4 Br 3.02, 4 Fe 3.02
Fe 0.5000 0.5000 0.5000  4 Br 3.02, 4 Zr 3.02
Br 0.0000 0.0000 0.0000  4 Zr 3.02, 4 Br 3.02

Output
The offset from the most stable computed form is 0.829 eV/atom. Its density is 6.0 g cm⁻³. The calculation puts the uncorrected energy at -18.82 eV per cell. As for the volume: 21.2 Å³ per atom.

***

[12]
## LiScTe3Pb (PBE-GGA)

Data for crystalline LiScTe3Pb at its relaxed geometry.

a = 4.3025 Å, b = 8.8049 Å, c = 9.6125 Å
α = 104.64°, β = 90.00°, γ = 90.00°
Closest atoms and distances in Å follow each position.
Sites, in units of the cell vectors:
Te 0.7500 0.2437 0.5208  3 Li 2.74-2.81, 1 Sc 2.93
Pb 0.7500 0.8094 0.7551  7 Te 3.33-3.44, 1 Li 3.65
Te 0.2500 0.7563 0.4792  3 Li 2.74-2.81, 1 Sc 2.93
Te 0.2500 0.1094 0.8758  1 Li 2.72, 2 Sc 2.98
Sc 0.7500 0.3285 0.8356  6 Te 2.93-2.98
Pb 0.2500 0.1906 0.2449  7 Te 3.33-3.44, 1 Li 3.65
Te 0.2500 0.5624 0.8456  3 Sc 2.96-2.97
Li 0.7500 0.9160 0.4121  4 Te 2.72-2.81, 2 Li 2.90
Li 0.2500 0.0840 0.5879  4 Te 2.72-2.81, 2 Li 2.90
Te 0.7500 0.8906 0.1242  1 Li 2.72, 2 Sc 2.98
Sc 0.2500 0.6715 0.1644  6 Te 2.93-2.98
Te 0.7500 0.4376 0.1544  3 Sc 2.96-2.97

Output
Its density is 6.1 g cm⁻³. The calculation puts the uncorrected energy at -52.89 eV per cell. As for the volume: 29.4 Å³ per atom.